Record 1
Compound: TbThGaAu
Source: the Alexandria database
Functional: PBE
Structure: relaxed

Results
- E_form (eV/atom) = -0.623
- energy above the lowest structure with this stoichiometry (meV/atom) = 0.0

Lattice parameters (Å, degrees): 4.4730 4.0575 11.1956 90.00 90.00 90.00
With the nearest neighbours (Å) after each atom.
Space group Amm2 (No. 38)
Unique sites:
Tb: 0.0000 0.0000 0.0000 (multiplicity 2)  4 Au 3.09, 3 Ga 3.17
Th: 0.5000 0.0000 0.2819 (multiplicity 2)  3 Au 3.09-3.23, 4 Ga 3.11
Ga: 0.0000 0.0000 0.7171 (multiplicity 2)  2 Au 2.86, 4 Th 3.11, 3 Tb 3.17
Au: 0.5000 0.0000 0.5577 (multiplicity 2)  2 Ga 2.86, 1 Th 3.09, 4 Tb 3.09



Record 2
Compound: Pr3Se5
Source: the Alexandria database
Functional: PBE
Structure: relaxed

Results
- energy relative to the elements, uncorrected (eV per formula unit) = -14.03

Lattice parameters (Å, degrees): 9.0492 9.0492 5.9897 90.00 90.00 120.00
With the nearest neighbours (Å) after each atom.
Space group P6_3/mcm (No. 193)
Unique sites:
Pr: 0.0000 0.3660 0.2500 (multiplicity 6)  9 Se 3.00-3.25
Se: 0.0000 0.2806 0.7500 (multiplicity 6)  5 Pr 3.00-3.20
Se: 0.3333 0.6667 0.0000 (multiplicity 4)  2 Se 2.99, 6 Pr 3.25



Record 3
Compound: GdDyI
Source: the Alexandria database
Functional: PBE
Structure: relaxed

Results
- energy relative to the elements, uncorrected (eV per formula unit) = -1.59

Lattice parameters (Å, degrees): 3.8473 3.8473 7.5684 90.00 90.00 120.00
With the nearest neighbours (Å) after each atom.
Space group P3m1 (No. 156)
Unique sites:
Gd: 0.0000 0.0000 0.0000 (multiplicity 1)  3 I 3.34, 3 Dy 3.45
Dy: 0.3333 0.6667 0.6512 (multiplicity 1)  3 I 3.30, 3 Gd 3.45
I: 0.6667 0.3333 0.3294 (multiplicity 1)  3 Dy 3.30, 3 Gd 3.34



Results for density of states at the Fermi level: 7.19, 2.53, 3.24 (in states/eV per cell, following the order of the records).